(1)
{
  "formula": "BaAl2Au",
  "functional": "GGA-PBEsol",
  "state": "relaxed",
  "cell": [[-0.5339, -2.7504, 3.3549], [1.5501, -4.0792, -0.2501], [5.6296, -0.4114, 3.4060]],
  "species": ["Al", "Al", "Au", "Ba"],
  "fractional_positions": [[0.2010, 0.2010, 0.3971], [0.7990, 0.7990, 0.6029], [0.5000, 0.5000, 0.5000], [0.0000, 0.0000, 0.0000]]
}

---

(2)
{
  "formula": "Ta2BePt",
  "functional": "GGA-PBEsol",
  "state": "relaxed",
  "cell": [[-1.2280, -2.4277, 2.5646], [1.8971, -2.7437, -1.6889], [3.1071, 3.4483, 2.0266]],
  "species": ["Be", "Ta", "Ta", "Pt"],
  "fractional_positions": [[0.5000, 0.5000, 0.0000], [0.0000, 0.0000, 0.0000], [0.7500, 0.2500, 0.5000], [0.2500, 0.7500, 0.5000]]
}

---

(3)
{
  "formula": "Er3Sn7",
  "functional": "GGA-PBEsol",
  "state": "relaxed",
  "cell": [[4.3636, 0.0000, 0.0000], [0.0000, 4.3383, 0.0000], [0.0000, 2.1692, 12.8961]],
  "species": ["Sn", "Sn", "Sn", "Sn", "Sn", "Sn", "Sn", "Er", "Er", "Er"],
  "fractional_positions": [[0.5000, 0.2108, 0.5785], [0.5000, 0.4027, 0.1946], [0.0000, 0.0970, 0.8059], [0.0000, 0.9030, 0.1941], [0.5000, 0.7892, 0.4215], [0.5000, 0.5973, 0.8054], [0.0000, 0.5000, 0.0000], [0.0000, 0.6896, 0.6209], [0.5000, 0.0000, 0.0000], [0.0000, 0.3104, 0.3791]]
}

---

(4)
{
  "formula": "Na2YZnGa",
  "functional": "GGA-PBEsol",
  "state": "relaxed",
  "cell": [[-3.9988, 0.5612, 2.3502], [1.5309, -3.4852, 3.4372], [2.1660, 3.7120, 2.7991]],
  "species": ["Zn", "Na", "Na", "Ga", "Y"],
  "fractional_positions": [[0.0000, 0.0000, 0.0000], [0.0000, 0.0000, 0.5000], [0.0000, 0.5000, 0.0000], [0.5000, 0.0000, 0.0000], [0.5000, 0.5000, 0.5000]]
}

---

| no. | final energy (eV/atom) | M_tot (μB/f.u.) | Fermi-level density of states (states/eV/cell) |
| --- | --- | --- | --- |
| 1 | -4.0226 | 0.0 | 3.4 |
| 2 | -9.1605 | 0.0 | 2.9 |
| 3 | -5.0318 | 0.0 | 3.4 |
| 4 | -2.5974 | 0.0 | 3.2 |